Entry 1:
Compound: BeCu2Os
Source: Alexandria
Functional: PBE-GGA
Structure: relaxed

Summary:
calculated total energy	-5.618	eV per atom
total moment	0.000	μB per atom
E_form	0.169	eV/atom
space-group type	R-3m (166)
crystal system	trigonal

abc: 8.314 8.314 8.314
angles: 18.05 18.05 18.05
Fractional coordinates of all 4 atoms:
Be  0.000  0.000  0.000
Cu  0.258  0.258  0.258
Cu  0.742  0.742  0.742
Os  0.500  0.500  0.500

---

Entry 2:
Compound: CsTlHgPb
Source: Alexandria
Functional: PBE-GGA
Structure: relaxed

Summary:
calculated total energy	-1.840	eV per atom
excess energy over the best structure of this formula in the dataset	5.53	kJ per mole of atoms
total moment	0.000	μB per atom
E_form	-0.032	eV/atom
space-group type	F-43m (216)
crystal system	cubic

abc: 5.855 5.855 5.855
angles: 60.00 60.00 60.00
Fractional coordinates of all 4 atoms:
Cs  0.000  0.000  0.000
Tl  0.250  0.250  0.250
Hg  0.750  0.750  0.750
Pb  0.500  0.500  0.500